[1]
First-principles (PBE) data for an optimized crystal structure of YCdAsSe2, as listed in Alexandria.

Values from the calculation:
E, eV/atom: -3.92
ΔE_f (raw), kcal/mol of atoms: -2.71
Theoretical density, g/cm³: 4.38
Density of states at the Fermi level, states/eV/cell: 5.68
Space-group type: No. 123
Excess energy over the best structure of this formula in the dataset, eV/atom: 0.000

Unit cell a=5.421 b=5.421 c=5.602 alpha=90.00 beta=90.00 gamma=90.00
Positions (direct):
Y 0.000 0.000 0.000
Cd 0.500 0.500 0.500
As 0.000 0.000 0.500
Se 0.000 0.500 0.000
Se 0.500 0.000 0.000

[2]
First-principles (PBE) data for an optimized crystal structure of YCdAsSe2, as listed in Alexandria.

Values from the calculation:
E, eV/atom: -3.84
ΔE_f (raw), kcal/mol of atoms: -0.99
Theoretical density, g/cm³: 5.32
Density of states at the Fermi level, states/eV/cell: 4.61
Space-group type: No. 123
Excess energy over the best structure of this formula in the dataset, eV/atom: 0.074

Unit cell a=5.176 b=5.176 c=5.056 alpha=90.00 beta=90.00 gamma=90.00
Positions (direct):
Y 0.000 0.000 0.000
Cd 0.500 0.500 0.500
As 0.500 0.500 0.000
Se 0.000 0.500 0.500
Se 0.500 0.000 0.500

Repeat the second record exactly.
First-principles (PBE) data for an optimized crystal structure of YCdAsSe2, as listed in Alexandria.

Values from the calculation:
E, eV/atom: -3.84
ΔE_f (raw), kcal/mol of atoms: -0.99
Theoretical density, g/cm³: 5.32
Density of states at the Fermi level, states/eV/cell: 4.61
Space-group type: No. 123
Excess energy over the best structure of this formula in the dataset, eV/atom: 0.074

Unit cell a=5.176 b=5.176 c=5.056 alpha=90.00 beta=90.00 gamma=90.00
Positions (direct):
Y 0.000 0.000 0.000
Cd 0.500 0.500 0.500
As 0.500 0.500 0.000
Se 0.000 0.500 0.500
Se 0.500 0.000 0.500